First-principles (PBE) data for crystalline InTeSe2 at its relaxed geometry, as listed in Alexandria via LeMat-Bulk.

Properties
Energy above the lowest structure with this stoichiometry   0.176 eV per atom
Uncorrected formation energy   -42 meV per atom
Crystal system   trigonal
Calculated total energy   -13.0 eV for the cell shown
Fermi-level density of states   2.81 states/eV/cell

a = 7.3597 Å, b = 7.3597 Å, c = 7.3597 Å
α = 34.34°, β = 34.34°, γ = 34.34°
Last column: nearest neighbours and their distance in Å.
Element x y z (fractional)
In1 0.0000 0.0000 0.0000  3 Se 2.79
Te1 0.2314 0.2314 0.2314  3 Se 2.79
Se1 0.5062 0.5062 0.5062  3 Te 2.79
Se2 0.7259 0.7259 0.7259  3 In 2.79

***

First-principles (PBE) data for crystalline ZrAl2In at its relaxed geometry, as listed in Alexandria via LeMat-Bulk.

Properties
Crystal system   orthorhombic
Calculated total energy   -19.5 eV for the cell shown
Formation energy from the elements   -176 meV/atom
Fermi-level density of states   1.89 states/eV/cell

a = 5.2368 Å, b = 5.2368 Å, c = 3.1120 Å
α = 90.00°, β = 90.00°, γ = 110.44°
Last column: nearest neighbours and their distance in Å.
Element x y z (fractional)
Zr1 0.0000 0.0000 0.0000  2 In 2.99, 8 Al 3.05, 2 Zr 3.11
Al1 0.0000 0.5000 0.5000  4 Al 2.99-3.11, 4 Zr 3.05, 4 In 3.05
Al2 0.5000 0.0000 0.5000  4 Al 2.99-3.11, 4 Zr 3.05, 4 In 3.05
In1 0.5000 0.5000 0.0000  2 Zr 2.99, 8 Al 3.05, 2 In 3.11

***

First-principles (PBE) data for crystalline LiCu2AsSe4 at its relaxed geometry, as listed in Alexandria via LeMat-Bulk.

Properties
Uncorrected formation energy   -344 meV per atom
Crystal system   tetragonal
Calculated total energy   -31.4 eV for the cell shown
Fermi-level density of states   0.64 states/eV/cell

a = 6.8142 Å, b = 6.8142 Å, c = 6.8142 Å
α = 129.55°, β = 129.55°, γ = 74.14°
Last column: nearest neighbours and their distance in Å.
Element x y z (fractional)
Li1 0.0000 0.0000 0.0000  4 Se 2.60
Cu1 0.2500 0.7500 0.5000  4 Se 2.41
Cu2 0.7500 0.2500 0.5000  4 Se 2.41
As1 0.5000 0.5000 0.0000  4 Se 2.43
Se1 0.1286 0.1286 0.5247  2 Cu 2.41, 1 As 2.43, 1 Li 2.60
Se2 0.3960 0.8714 0.0000  2 Cu 2.41, 1 As 2.43, 1 Li 2.60
Se3 0.6040 0.6040 0.4753  2 Cu 2.41, 1 As 2.43, 1 Li 2.60
Se4 0.8714 0.3960 0.0000  2 Cu 2.41, 1 As 2.43, 1 Li 2.60